HfNi3O: optimized geometry, PBE with a Hubbard U.

Structure (POSCAR):
```
HfNi3O
1.0
4.4821 0.0000 0.0000
0.0000 4.4821 0.0000
0.0000 0.0000 4.4821
Hf Ni O
1 3 1
direct
0.0000 0.0000 0.0000
0.0000 0.0000 0.5000
0.0000 0.5000 0.0000
0.5000 0.0000 0.0000
0.5000 0.5000 0.5000
```

Summary:
Total moment in μB per cell: 0.0
E_tot in eV per atom: -2.26
Density of states at the Fermi level in states/eV per cell: 1.12